DFT (PBE) results for an optimized crystal structure of TbHoInCu.

- magnetization (μB per cell) = 0.00
- Fermi-level density of states (states/eV/atom) = 0.889
- energy of formation (eV per atom) = -0.309
- uncorrected energy (eV per cell) = -17.3
- volume (A^3/atom) = 24.31
- crystal system = cubic

Unit cell a=5.1618 b=5.1618 c=5.1618 alpha=60.00 beta=60.00 gamma=60.00
Closest atoms and distances in Å follow each position.
Atoms (fractional coordinates):
Ho 0.5000 0.5000 0.5000  4 Cu 3.16, 4 In 3.16
In 0.7500 0.7500 0.7500  4 Tb 3.16, 4 Ho 3.16
Cu 0.2500 0.2500 0.2500  4 Tb 3.16, 4 Ho 3.16
Tb 0.0000 0.0000 0.0000  4 In 3.16, 4 Cu 3.16

---

DFT (PBE) results for an optimized crystal structure of Sr2VFe.

- magnetization (μB per cell) = 7.28
- Fermi-level density of states (states/eV/atom) = 0.803
- energy of formation (eV per atom) = 0.954
- relative energy among the computed polymorphs (meV per atom) = 255.7
- uncorrected energy (eV per cell) = -17.1
- volume (A^3/atom) = 29.16
- crystal system = cubic

Unit cell a=5.4842 b=5.4842 c=5.4842 alpha=60.00 beta=60.00 gamma=60.00
Closest atoms and distances in Å follow each position.
Atoms (fractional coordinates):
V 0.0000 0.0000 0.0000  8 Sr 3.36
Fe 0.5000 0.5000 0.5000  8 Sr 3.36
Sr 0.7500 0.7500 0.7500  4 Fe 3.36, 4 V 3.36
Sr 0.2500 0.2500 0.2500  4 Fe 3.36, 4 V 3.36

---

DFT (PBE) results for an optimized crystal structure of CrGeSbPd2.

- magnetization (μB per cell) = 2.63
- Fermi-level density of states (states/eV/atom) = 1.479
- ΔE_f (raw) (eV/atom) = 0.731
- uncorrected energy (eV per cell) = -25.1
- volume (A^3/atom) = 22.09
- crystal system = tetragonal

Unit cell a=4.7322 b=4.9331 c=4.7322 alpha=90.00 beta=90.00 gamma=90.00
Closest atoms and distances in Å follow each position.
Atoms (fractional coordinates):
Cr 0.0000 0.0000 0.0000  4 Pd 2.37, 2 Sb 2.47
Pd 0.0000 0.0000 0.5000  2 Cr 2.37
Pd 0.5000 0.0000 0.0000  2 Cr 2.37
Sb 0.0000 0.5000 0.0000  2 Cr 2.47
Ge 0.5000 0.5000 0.5000  4 Sb 3.35, 8 Pd 3.42

---

DFT (PBE) results for an optimized crystal structure of CoWCl2.

- magnetization (μB per cell) = 1.96
- Fermi-level density of states (states/eV/atom) = 0.677
- ΔE_f (raw) (eV/atom) = 0.946
- relative energy among the computed polymorphs (meV per atom) = 1068.2
- uncorrected energy (eV per cell) = -39.9
- volume (A^3/atom) = 17.59
- crystal system = tetragonal

Unit cell a=5.4122 b=5.4122 c=6.1414 alpha=63.86 beta=63.86 gamma=90.00
Closest atoms and distances in Å follow each position.
Atoms (fractional coordinates):
Cl 0.1507 0.6250 0.2500  2 Co 2.18, 2 W 2.35
Cl 0.5993 0.1250 0.2500  2 Co 2.18, 2 W 2.35
Cl 0.8750 0.8493 0.7500  2 Co 2.18, 2 W 2.35
Cl 0.3750 0.4007 0.7500  2 Co 2.18, 2 W 2.35
Co 0.2500 0.7500 0.5000  4 Cl 2.18
Co 0.5000 0.5000 0.0000  4 Cl 2.18
W 0.7500 0.2500 0.5000  4 Cl 2.35
W 0.0000 0.0000 0.0000  4 Cl 2.35